TmTlZnTe3: optimized geometry, GGA-PBE.

extended XYZ file:
```
12
Lattice="9.571 0.000 0.000 0.000 4.344 0.000 -3.145 0.000 9.742" Properties=species:S:1:pos:R:3 pbc="T T T"
Tm 1.218 1.086 1.369
Tm 5.208 3.258 8.373
Tl 0.349 3.258 7.542
Tl 6.077 1.086 2.200
Zn 2.747 3.258 3.859
Zn 3.679 1.086 5.883
Te -2.242 1.086 8.101
Te 1.261 1.086 4.550
Te 3.380 3.258 1.274
Te 3.046 1.086 8.468
Te 5.165 3.258 5.192
Te 8.668 3.258 1.641
```

The value obtained for the magnetization is 0.00 μB/f.u. The calculation puts the total energy at -44.76 eV for the cell shown. The space group is P2_1/m (11).


Au2NF: optimized geometry, GGA-PBE.

extended XYZ file:
```
16
Lattice="5.986 0.000 0.000 0.000 5.986 0.000 0.000 0.000 5.986" Properties=species:S:1:pos:R:3 pbc="T T T"
Au 1.496 1.496 1.496
Au 1.496 1.496 4.489
Au 1.496 4.489 1.496
Au 1.496 4.489 4.489
Au 4.489 1.496 1.496
Au 4.489 1.496 4.489
Au 4.489 4.489 1.496
Au 4.489 4.489 4.489
N 0.000 0.000 0.000
N 0.000 2.993 2.993
N 2.993 0.000 2.993
N 2.993 2.993 0.000
F 0.000 0.000 2.993
F 0.000 2.993 0.000
F 2.993 0.000 0.000
F 2.993 2.993 2.993
```

The value obtained for the magnetization is 1.78 μB/f.u. The calculation puts the total energy at -52.25 eV for the cell shown. For the distance to the lowest polymorph of the same formula, the calculation gives 451.0 meV per atom. The value obtained for the density of states at the Fermi level is 0.508 states/eV per atom. The space group is Fm-3m (225).


AlSeSBr2: optimized geometry, GGA-PBE.

extended XYZ file:
```
5
Lattice="5.181 0.000 0.000 0.000 5.181 0.000 0.000 0.000 5.001" Properties=species:S:1:pos:R:3 pbc="T T T"
Al 0.000 0.000 0.000
Se 2.591 2.591 0.000
S 2.591 2.591 2.500
Br 0.000 2.591 2.500
Br 2.591 0.000 2.500
```

The value obtained for the magnetization is 0.00 μB/f.u. The calculation puts the total energy at -13.07 eV for the cell shown. For the distance to the lowest polymorph of the same formula, the calculation gives 134.5 meV per atom. The value obtained for the density of states at the Fermi level is 0.583 states/eV per atom. The space group is P4/mmm (123).


CdSi2Sn: optimized geometry, GGA-PBE.

extended XYZ file:
```
16
Lattice="6.201 0.000 0.000 0.000 6.201 0.000 0.000 0.000 11.498" Properties=species:S:1:pos:R:3 pbc="T T T"
Cd 0.000 0.000 0.000
Cd 0.000 3.101 2.875
Cd 3.101 0.000 8.624
Cd 3.101 3.101 5.749
Si 1.552 1.550 1.437
Si 1.548 1.550 7.186
Si 1.550 4.653 4.312
Si 1.550 4.649 10.061
Si 4.651 1.548 4.312
Si 4.651 1.552 10.061
Si 4.649 4.651 1.437
Si 4.653 4.651 7.186
Sn 0.000 0.000 5.749
Sn 0.000 3.101 8.624
Sn 3.101 0.000 2.875
Sn 3.101 3.101 0.000
```

The value obtained for the magnetization is 0.00 μB/f.u. The calculation puts the total energy at -55.47 eV for the cell shown. For the distance to the lowest polymorph of the same formula, the calculation gives 0.0 meV per atom. The value obtained for the density of states at the Fermi level is 0.484 states/eV per atom. The space group is I-42d (122).